The following is a DFT calculation (PBE-GGA) of crystalline K2TaGa at its relaxed geometry.

a = 12.360 Å, b = 12.360 Å, c = 9.107 Å
α = 47.27°, β = 47.27°, γ = 90.00°
Element x y z (fractional)
K  0.468  0.125  0.250
K  0.282  0.625  0.250
K  0.375  0.532  0.750
K  0.875  0.718  0.750
Ga  0.500  0.500  0.000
Ga  0.250  0.750  0.500
Ta  0.000  0.000  0.000
Ta  0.750  0.250  0.500

## Properties
DFT total energy in eV/cell: -24.88
DOS at the Fermi energy in states/eV/atom: 1.172
ΔH_f (0 K) in eV/atom: 1.16
Space group: I-42d

***

The following is a DFT calculation (PBE-GGA) of crystalline HfIn2Pd at its relaxed geometry.

a = 4.296 Å, b = 4.308 Å, c = 4.308 Å
α = 90.00°, β = 90.00°, γ = 90.00°
Element x y z (fractional)
Hf  0.500  0.500  0.500
Pd  0.500  0.000  0.000
In  0.000  0.000  0.500
In  0.000  0.500  0.000

## Properties
DFT total energy in eV/cell: -21.87
DOS at the Fermi energy in states/eV/atom: 0.330
ΔH_f (0 K) in eV/atom: -0.31
Space group: P4/mmm
Energy relative to the lowest polymorph listed for this composition in meV per atom: 37

***

The following is a DFT calculation (PBE-GGA) of crystalline ReWS2 at its relaxed geometry.

a = 5.443 Å, b = 5.443 Å, c = 6.293 Å
α = 64.38°, β = 64.38°, γ = 90.00°
Element x y z (fractional)
Re  0.000  0.000  0.000
Re  0.750  0.250  0.500
S  0.633  0.125  0.250
S  0.117  0.625  0.250
S  0.375  0.367  0.750
S  0.875  0.883  0.750
W  0.500  0.500  0.000
W  0.250  0.750  0.500

## Properties
DFT total energy in eV/cell: -64.14
E_form (uncorrected) in eV per atom: 0.397
DOS at the Fermi energy in states/eV/atom: 1.160
Space group: I-42d
Energy relative to the lowest polymorph listed for this composition in meV per atom: 346

***

The following is a DFT calculation (PBE-GGA) of crystalline Y5Te4Au at its relaxed geometry.

a = 6.157 Å, b = 7.521 Å, c = 7.521 Å
α = 80.36°, β = 65.84°, γ = 65.84°
Element x y z (fractional)
Y  0.903  0.378  0.818
Y  0.281  0.818  0.622
Y  0.721  0.182  0.378
Y  0.099  0.622  0.182
Y  0.501  0.000  0.000
Te  0.410  0.397  0.784
Te  0.808  0.784  0.603
Te  0.194  0.216  0.397
Te  0.592  0.603  0.216
Au  0.001  0.000  0.000

## Properties
DFT total energy in eV/cell: -60.62
E_form (uncorrected) in eV per atom: -1.246
DOS at the Fermi energy in states/eV/atom: 0.469
Space group: I4/m